Entry from Alexandria via LeMat-Bulk: crystalline In4HgRu at its relaxed geometry (PBE).

abc: 5.853 5.853 5.853
angles: 60.00 60.00 60.00
Element x y z (fractional)
1 In 0.124 0.124 0.124
2 In 0.124 0.124 0.627
3 In 0.124 0.627 0.124
4 In 0.627 0.124 0.124
5 Hg 0.500 0.500 0.500
6 Ru 0.750 0.750 0.750

total magnetic moment = 0.80 μB per formula unit
SG = F-43m, No. 216
total DFT energy (no corrections) = -16.91 eV/cell
calculated formation energy = 604 meV/atom



Entry from Alexandria via LeMat-Bulk: crystalline NdBi6Pd12 at its relaxed geometry (PBE).

abc: 7.749 7.749 7.749
angles: 103.71 103.71 103.71
Element x y z (fractional)
1 Nd 0.000 0.000 0.000
2 Bi 0.262 0.262 0.669
3 Bi 0.262 0.669 0.262
4 Bi 0.331 0.738 0.738
5 Bi 0.669 0.262 0.262
6 Bi 0.738 0.331 0.738
7 Bi 0.738 0.738 0.331
8 Pd 0.098 0.333 0.333
9 Pd 0.119 0.500 0.881
10 Pd 0.119 0.881 0.500
11 Pd 0.333 0.098 0.333
12 Pd 0.333 0.333 0.098
13 Pd 0.500 0.119 0.881
14 Pd 0.500 0.881 0.119
15 Pd 0.667 0.667 0.902
16 Pd 0.667 0.902 0.667
17 Pd 0.881 0.119 0.500
18 Pd 0.881 0.500 0.119
19 Pd 0.902 0.667 0.667

total magnetic moment = 0.00 μB per formula unit
SG = R-3m, No. 166
total DFT energy (no corrections) = -94.56 eV/cell
calculated formation energy = -221 meV/atom



Entry from Alexandria via LeMat-Bulk: crystalline PmPr2PaSe4 at its relaxed geometry (PBE).

abc: 7.276 4.172 7.291
angles: 90.00 109.11 90.00
Element x y z (fractional)
1 Pm 0.000 0.000 0.000
2 Pr 0.000 0.500 0.500
3 Pr 0.500 0.000 0.500
4 Pa 0.500 0.500 0.000
5 Se 0.251 0.500 0.241
6 Se 0.257 0.000 0.761
7 Se 0.743 0.000 0.239
8 Se 0.749 0.500 0.759

total magnetic moment = 0.83 μB per formula unit
SG = P2/m, No. 10
total DFT energy (no corrections) = -51.04 eV/cell



Entry from Alexandria via LeMat-Bulk: crystalline Ce3Bi2Te at its relaxed geometry (PBE).

abc: 7.917 7.917 7.938
angles: 99.61 99.61 120.20
Element x y z (fractional)
1 Ce 0.000 0.500 0.000
2 Ce 0.164 0.329 0.499
3 Ce 0.329 0.164 0.999
4 Ce 0.500 0.000 0.500
5 Ce 0.671 0.836 0.001
6 Ce 0.836 0.671 0.501
7 Bi 0.251 0.749 0.750
8 Bi 0.417 0.583 0.250
9 Bi 0.583 0.417 0.750
10 Bi 0.749 0.251 0.250
11 Te 0.084 0.916 0.250
12 Te 0.916 0.084 0.750

total magnetic moment = 3.18 μB per formula unit
SG = C2/c, No. 15
total DFT energy (no corrections) = -69.30 eV/cell



> The lowest total magnetic moment belongs to which entry?

NdBi6Pd12



> What is the formula in the third record?

PmPr2PaSe4



> Number 3 is which compound?

PmPr2PaSe4